# 1
Crystalline Np2Cu5O12 at its relaxed geometry, computed with GGA-PBE.

CIF file:
```
data_Np2Cu5O12
_chemical_formula_sum 'Np2 Cu5 O12'
_cell_length_a 5.766
_cell_length_b 5.798
_cell_length_c 8.302
_cell_angle_alpha 105.81
_cell_angle_beta 102.26
_cell_angle_gamma 104.98
_space_group_name_H-M_alt 'P -1'
_space_group_IT_number 2
loop_
_space_group_symop_operation_xyz
'x,y,z'
'-x,-y,-z'
loop_
_atom_site_label
_atom_site_type_symbol
_atom_site_fract_x
_atom_site_fract_y
_atom_site_fract_z
Np1 Np 0.245 0.261 0.004
Cu1 Cu 0.000 0.000 0.500
Cu2 Cu 0.027 0.554 0.690
Cu3 Cu 0.462 0.956 0.319
O1 O 0.019 0.332 0.829
O2 O 0.043 0.840 0.877
O3 O 0.056 0.713 0.523
O4 O 0.341 0.124 0.500
O5 O 0.456 0.191 0.178
O6 O 0.482 0.681 0.124
```

# 2
Crystalline Np3Cu5O16 at its relaxed geometry, computed with GGA-PBE.

CIF file:
```
data_Np3Cu5O16
_chemical_formula_sum 'Np3 Cu5 O16'
_cell_length_a 5.813
_cell_length_b 7.045
_cell_length_c 9.402
_cell_angle_alpha 81.10
_cell_angle_beta 85.30
_cell_angle_gamma 66.42
_space_group_name_H-M_alt 'P 1'
_space_group_IT_number 1
loop_
_space_group_symop_operation_xyz
'x,y,z'
loop_
_atom_site_label
_atom_site_type_symbol
_atom_site_fract_x
_atom_site_fract_y
_atom_site_fract_z
Np1 Np 0.000 0.000 0.000
Np2 Np 0.242 0.729 0.494
Np3 Np 0.726 0.231 0.512
Cu1 Cu 0.280 0.159 0.262
Cu2 Cu 0.495 0.492 0.021
Cu3 Cu 0.518 0.972 0.988
Cu4 Cu 0.749 0.716 0.496
Cu5 Cu 0.994 0.495 0.017
O1 O 0.065 0.627 0.386
O2 O 0.067 0.068 0.397
O3 O 0.169 0.669 0.963
O4 O 0.227 0.066 0.864
O5 O 0.276 0.939 0.141
O6 O 0.319 0.315 0.083
O7 O 0.402 0.417 0.608
O8 O 0.429 0.822 0.601
O9 O 0.535 0.175 0.388
O10 O 0.596 0.573 0.397
O11 O 0.667 0.666 0.959
O12 O 0.739 0.064 0.859
O13 O 0.773 0.930 0.134
O14 O 0.825 0.318 0.071
O15 O 0.895 0.865 0.595
O16 O 0.914 0.300 0.621
```

Listing V for the structures above in their given order: 246, 349 Å³/f.u..
Listing total energy for the structures above in their given order: -6.9494, -7.3018 eV/atom.